[1]
GdMg4ScPd2: relaxed, PBE.

```
GdMg4ScPd2
1.0
7.697 0.000 0.000
0.000 2.551 6.628
0.000 -2.551 6.628
Gd Mg Sc Pd
1 4 1 2
direct
0.000 0.000 0.000
0.213 0.633 0.633
0.316 0.382 0.382
0.684 0.382 0.382
0.787 0.633 0.633
0.000 0.245 0.245
0.000 0.452 0.452
0.000 0.791 0.791
```

Calculated values
Uncorrected energy, eV per atom: -3.377
Total moment, Bohr magnetons per cell: 0.37

---

[2]
GdMg4SiPd2: relaxed, PBE.

```
GdMg4SiPd2
1.0
6.749 0.000 0.000
0.000 1.735 9.103
0.000 -1.735 9.103
Gd Mg Si Pd
1 4 1 2
direct
0.000 0.000 0.000
0.271 0.192 0.192
0.294 0.849 0.849
0.706 0.849 0.849
0.729 0.192 0.192
0.000 0.622 0.622
0.000 0.375 0.375
0.000 0.752 0.752
```

Calculated values
Uncorrected energy, eV per atom: -3.434
Total moment, Bohr magnetons per cell: 0.00

---

[3]
Gd3Mg3TlPd2: relaxed, PBE.

```
Gd3Mg3TlPd2
1.0
7.585 0.000 0.000
-3.793 6.569 0.000
0.000 0.000 4.232
Gd Mg Tl Pd
3 3 1 2
direct
0.000 0.422 0.000
0.422 0.000 0.000
0.578 0.578 0.000
0.000 0.741 0.500
0.259 0.259 0.500
0.741 0.000 0.500
0.000 0.000 0.000
0.333 0.667 0.500
0.667 0.333 0.500
```

Calculated values
Uncorrected energy, eV per atom: -3.985
Total moment, Bohr magnetons per cell: 0.01

---

[4]
Gd3Mg3Zn2Pd: relaxed, PBE.

```
Gd3Mg3Zn2Pd
1.0
7.558 0.000 0.000
-3.779 6.545 0.000
0.000 0.000 4.163
Gd Mg Zn Pd
3 3 2 1
direct
0.000 0.410 0.000
0.410 0.000 0.000
0.590 0.590 0.000
0.000 0.761 0.500
0.239 0.239 0.500
0.761 0.000 0.500
0.333 0.667 0.500
0.667 0.333 0.500
0.000 0.000 0.000
```

Calculated values
Uncorrected energy, eV per atom: -3.317
Total moment, Bohr magnetons per cell: 1.02